CsFeO2F4 | PBE with a Hubbard U | relaxed

Lattice parameters (Å, degrees): 7.404 7.404 7.717 62.45 62.45 51.74
Positions (direct):
O1 0.784 0.534 0.257
O2 0.466 0.216 0.243
O3 0.534 0.784 0.757
O4 0.216 0.466 0.743
F1 0.100 0.686 0.974
F2 0.743 0.791 0.871
F3 0.900 0.314 0.026
F4 0.209 0.257 0.629
F5 0.314 0.900 0.526
F6 0.257 0.209 0.129
F7 0.791 0.743 0.371
F8 0.686 0.100 0.474
Fe1 0.000 0.500 0.000
Fe2 0.500 0.000 0.500
Cs1 0.239 0.761 0.250
Cs2 0.761 0.239 0.750

Output
Calculated total energy in eV for the cell shown: -67.3
D(E_F) in states/eV/cell: 9.65
Space group: No. 15